GGA-PBEsol ZnGa3Re, relaxed; total energy = -4.493 eV/atom; DFT formation energy = 0.4936 eV per atom; magnetic moment = 0.000 μB/f.u.
1.0
4.800 0.000 0.000
0.000 4.800 0.000
0.000 0.000 4.800
Zn Ga Re
1 3 1
Cartesian
2.400 2.400 2.400
0.000 2.400 0.000
0.000 0.000 2.400
2.400 0.000 0.000
0.000 0.000 0.000


GGA-PBEsol AgP2, relaxed; total energy = -4.984 eV/atom; DFT formation energy = -0.0189 eV per atom; polymorph energy (0 for the lowest one) = 0.00 eV/f.u.; magnetic moment = 0.000 μB/f.u.
1.0
5.012 0.000 0.000
0.000 6.136 0.014
0.000 -3.044 7.089
Ag P
4 8
Cartesian
0.231 1.171 0.719
2.275 2.717 4.270
2.737 0.375 2.832
4.782 1.921 6.383
2.997 3.883 0.588
0.491 3.799 2.977
1.167 0.488 4.947
2.015 -0.791 6.514
3.845 2.604 2.155
1.339 5.078 1.410
4.521 -0.707 4.126
3.673 -1.986 5.692


GGA-PBEsol YTlZn, relaxed; total energy = -4.015 eV/atom; DFT formation energy = -0.3372 eV per atom; magnetic moment = 0.000 μB/f.u.
1.0
4.627 0.000 0.000
2.313 4.007 0.000
2.313 1.336 3.778
Zn Tl Y
1 1 1
Cartesian
2.313 1.336 0.944
0.000 0.000 0.000
4.627 2.671 1.889


magnetic moment of number 1 (ZnGa3Re)? 0.000 μB/f.u.